No. 1
DFT (PBE) results for a geometry-optimized LaCuSi2Au structure.

Cell: 5.9505 5.9505 5.9505 Å, 138.28 138.28 60.47°
Fractional coordinates of all 5 atoms:
Au1 0.0000 0.0000 0.0000
Si1 0.8661 0.3661 0.5000
Si2 0.6339 0.1339 0.5000
Cu1 0.5000 0.5000 0.0000
La1 0.2500 0.7500 0.5000

Properties
E_tot ... -25.9 eV per cell

=====

No. 2
DFT (PBE) results for a geometry-optimized La2CuSi2Au structure.

Cell: 4.3307 4.3307 8.3168 Å, 90.00 90.00 120.00°
Fractional coordinates of all 6 atoms:
Cu1 0.3333 0.6667 0.5000
Si1 0.0000 0.0000 0.5000
La1 0.6667 0.3333 0.7438
La2 0.6667 0.3333 0.2562
Si2 0.3333 0.6667 0.0000
Au1 0.0000 0.0000 0.0000

Properties
E_tot ... -32.1 eV per cell

=====

No. 3
DFT (PBE) results for a geometry-optimized LaCuSn2Au structure.

Cell: 4.6478 4.6478 10.7322 Å, 90.00 90.00 90.00°
Fractional coordinates of all 10 atoms:
La1 0.5000 0.0000 0.7518
Sn1 0.5000 0.0000 0.1420
Sn2 0.0000 0.0000 0.5000
Au1 0.5000 0.5000 0.0000
Cu1 0.5000 0.0000 0.3768
Sn3 0.0000 0.5000 0.8580
Cu2 0.0000 0.5000 0.6232
Au2 0.0000 0.0000 0.0000
Sn4 0.5000 0.5000 0.5000
La2 0.0000 0.5000 0.2482

Properties
E_tot ... -45.3 eV per cell

=====

Q: Number 2 is which compound?
A: La2CuSi2Au

=====

Q: The highest E_tot belongs to which entry?
A: LaCuSi2Au

=====

Q: What is the E_tot in the third record?
A: -45.3 eV per cell

=====

Q: Which of these has the lowest E_tot?
A: LaCuSn2Au